[1]
A plane-wave DFT calculation with PBE was carried out for a relaxed structure of ZrTiCuAg.

Values from the calculation:
raw total energy	-0.2130	hartree per atom
energy relative to the elements	0.05	eV/atom

CIF file:
```
data_ZrTiCuAg
_space_group_name_H-M_alt 'F -4 3 m'
_space_group_IT_number 216
_space_group_name_Hall 'F -4 2 3'
_cell_length_a 6.589
_cell_length_b 6.589
_cell_length_c 6.589
_cell_angle_alpha 90.00
_cell_angle_beta 90.00
_cell_angle_gamma 90.00
loop_
_atom_site_label
_atom_site_type_symbol
_atom_site_fract_x
_atom_site_fract_y
_atom_site_fract_z
_atom_site_occupancy
Zr1 Zr 0.000 0.000 0.000 1
Ti1 Ti 0.000 0.000 0.500 1
Cu1 Cu 0.250 0.250 0.750 1
Ag1 Ag 0.250 0.250 0.250 1
```


[2]
A plane-wave DFT calculation with PBE was carried out for a relaxed structure of Rb2NaIrBr.

Values from the calculation:
formation energy without anion corrections	0.226	eV per atom
raw total energy	-0.0930	hartree per atom

CIF file:
```
data_Rb2NaIrBr
_space_group_name_H-M_alt 'P 4/m m m'
_space_group_IT_number 123
_space_group_name_Hall '-P 4 2'
_cell_length_a 6.703
_cell_length_b 6.703
_cell_length_c 4.724
_cell_angle_alpha 90.00
_cell_angle_beta 90.00
_cell_angle_gamma 90.00
loop_
_atom_site_label
_atom_site_type_symbol
_atom_site_fract_x
_atom_site_fract_y
_atom_site_fract_z
_atom_site_occupancy
Rb1 Rb 0.000 0.500 0.000 1
Na1 Na 0.000 0.000 0.500 1
Ir1 Ir 0.500 0.500 0.500 1
Br1 Br 0.500 0.500 0.000 1
```


[3]
A plane-wave DFT calculation with PBE was carried out for a relaxed structure of Tm6InTe2.

Values from the calculation:
formation energy without anion corrections	-0.529	eV per atom
raw total energy	-0.1658	hartree per atom

CIF file:
```
data_Tm6InTe2
_space_group_name_H-M_alt 'F m m m'
_space_group_IT_number 69
_space_group_name_Hall '-F 2 2'
_cell_length_a 5.467
_cell_length_b 11.504
_cell_length_c 15.856
_cell_angle_alpha 90.00
_cell_angle_beta 90.00
_cell_angle_gamma 90.00
loop_
_atom_site_label
_atom_site_type_symbol
_atom_site_fract_x
_atom_site_fract_y
_atom_site_fract_z
_atom_site_occupancy
Tm1 Tm 0.000 0.153 0.168 1
Tm2 Tm 0.000 0.163 0.500 1
In1 In 0.000 0.000 0.000 1
Te1 Te 0.000 0.000 0.336 1
```


[4]
A plane-wave DFT calculation with PBE was carried out for a relaxed structure of Pm4Nd3In4.

Values from the calculation:
raw total energy	-0.1592	hartree per atom
energy relative to the elements	-0.31	eV/atom

CIF file:
```
data_Pm4Nd3In4
_space_group_name_H-M_alt 'I m m m'
_space_group_IT_number 71
_space_group_name_Hall '-I 2 2'
_cell_length_a 3.763
_cell_length_b 9.608
_cell_length_c 19.375
_cell_angle_alpha 90.00
_cell_angle_beta 90.00
_cell_angle_gamma 90.00
loop_
_atom_site_label
_atom_site_type_symbol
_atom_site_fract_x
_atom_site_fract_y
_atom_site_fract_z
_atom_site_occupancy
Pm1 Pm 0.000 0.183 0.164 1
Nd1 Nd 0.000 0.000 0.404 1
Nd2 Nd 0.000 0.500 0.500 1
In1 In 0.000 0.280 0.000 1
In2 In 0.000 0.500 0.230 1
```